# 1
Here is a relaxed AcSm7Dy4 crystal from Alexandria via LeMat-Bulk. Energies are from PBE.

Unit cell a=6.1119 b=9.7819 c=8.6187 alpha=61.31 beta=69.23 gamma=71.80
Last column: magnetic moment on the atom in μB.
Sites, in units of the cell vectors:
Sm (0.9085, 0.4633, 0.7198)  0.00
Sm (0.7820, 0.8912, 0.5448)  0.00
Sm (0.2255, 0.7411, 0.8079)  0.01
Sm (0.0915, 0.5367, 0.2802)  0.00
Sm (0.5000, 0.0000, 0.0000)  0.12
Sm (0.7745, 0.2589, 0.1921)  0.01
Sm (0.2180, 0.1088, 0.4552)  0.00
Dy (0.3338, 0.3632, 0.9692)  0.00
Dy (0.6662, 0.6368, 0.0308)  0.00
Dy (0.4329, 0.7009, 0.4334)  0.00
Dy (0.5671, 0.2991, 0.5666)  0.00
Ac (0.0000, 0.0000, 0.0000)  0.09

N(E_F) ... 20.0 states/eV/cell
SG ... No. 12
Magnetic moment ... 0.3 Bohr magnetons per cell
Energy of formation ... 0.245 eV per atom
V ... 34.69 Å³ per atom
Energy ... -4.384 eV/atom



# 2
Here is a relaxed AcSm5Dy crystal from Alexandria via LeMat-Bulk. Energies are from PBE.

Unit cell a=6.7224 b=6.7224 c=12.1877 alpha=106.11 beta=106.11 gamma=96.73
Sites, in units of the cell vectors:
Dy (0.5119, 0.4881, 0.2500)
Dy (0.4881, 0.5119, 0.7500)
Sm (0.8276, 0.1724, 0.7500)
Sm (0.2406, 0.5315, 0.9657)
Sm (0.0316, 0.3839, 0.3309)
Sm (0.5315, 0.2406, 0.4657)
Sm (0.4685, 0.7594, 0.5343)
Sm (0.9684, 0.6161, 0.6691)
Sm (0.3839, 0.0316, 0.8309)
Sm (0.1724, 0.8276, 0.2500)
Sm (0.7594, 0.4685, 0.0343)
Sm (0.6161, 0.9684, 0.1691)
Ac (0.0000, 0.0000, 0.0000)
Ac (0.0000, 0.0000, 0.5000)

N(E_F) ... 20.4 states/eV/cell
SG ... No. 15
Magnetic moment ... 0.0 Bohr magnetons per cell
Energy of formation ... 0.094 eV per atom
V ... 35.50 Å³ per atom
Energy ... -4.522 eV/atom



# 3
Here is a relaxed AcSm3Dy7 crystal from Alexandria via LeMat-Bulk. Energies are from PBE.

Unit cell a=6.5458 b=7.6851 c=7.6830 alpha=80.92 beta=86.18 gamma=86.16
Sites, in units of the cell vectors:
Dy (0.7409, 0.9211, 0.5753)
Dy (0.7409, 0.5753, 0.9211)
Dy (0.1992, 0.7656, 0.7656)
Dy (0.8008, 0.2344, 0.2344)
Dy (0.0000, 0.5000, 0.5000)
Dy (0.2591, 0.0789, 0.4247)
Dy (0.2591, 0.4247, 0.0789)
Sm (0.0000, 0.8256, 0.1744)
Sm (0.0000, 0.1744, 0.8256)
Sm (0.5000, 0.0000, 0.0000)
Ac (0.5000, 0.5000, 0.5000)

N(E_F) ... 16.5 states/eV/cell
SG ... No. 12
Magnetic moment ... 0.0 Bohr magnetons per cell
Energy of formation ... 0.223 eV per atom
V ... 34.56 Å³ per atom
Energy ... -4.367 eV/atom



# 4
Here is a relaxed Ac12SmDy3 crystal from Alexandria via LeMat-Bulk. Energies are from PBE.

Unit cell a=5.4950 b=5.4950 c=21.9521 alpha=90.00 beta=90.00 gamma=90.00
Sites, in units of the cell vectors:
Ac (0.5000, 0.5000, 0.7494)
Ac (0.5000, 0.5000, 0.0000)
Ac (0.5000, 0.0000, 0.8741)
Ac (0.0000, 0.5000, 0.1259)
Ac (0.5000, 0.5000, 0.2506)
Ac (0.5000, 0.0000, 0.3754)
Ac (0.5000, 0.0000, 0.6246)
Ac (0.5000, 0.5000, 0.5000)
Ac (0.0000, 0.5000, 0.6246)
Ac (0.5000, 0.0000, 0.1259)
Ac (0.0000, 0.5000, 0.3754)
Ac (0.0000, 0.5000, 0.8741)
Dy (0.0000, 0.0000, 0.2507)
Dy (0.0000, 0.0000, 0.5000)
Dy (0.0000, 0.0000, 0.7493)
Sm (0.0000, 0.0000, 0.0000)

N(E_F) ... 23.0 states/eV/cell
SG ... No. 123
Magnetic moment ... 0.0 Bohr magnetons per cell
Energy of formation ... 0.034 eV per atom
V ... 41.43 Å³ per atom
Energy ... -4.205 eV/atom



# 5
Here is a relaxed Ac2SmDy crystal from Alexandria via LeMat-Bulk. Energies are from PBE.

Unit cell a=3.8736 b=3.8736 c=10.1988 alpha=90.00 beta=90.00 gamma=90.00
Sites, in units of the cell vectors:
Ac (0.0000, 0.0000, 0.2468)
Ac (0.0000, 0.0000, 0.7532)
Dy (0.5000, 0.5000, 0.0000)
Sm (0.5000, 0.5000, 0.5000)

N(E_F) ... 6.7 states/eV/cell
SG ... No. 123
Magnetic moment ... 0.0 Bohr magnetons per cell
Energy of formation ... 0.047 eV per atom
V ... 38.26 Å³ per atom
Energy ... -4.338 eV/atom



# 6
Here is a relaxed AcSm2Dy9 crystal from Alexandria via LeMat-Bulk. Energies are from PBE.

Unit cell a=5.0785 b=5.0785 c=15.2449 alpha=90.00 beta=90.00 gamma=90.00
Sites, in units of the cell vectors:
Sm (0.0000, 0.0000, 0.3353)
Sm (0.0000, 0.0000, 0.6647)
Dy (0.5000, 0.5000, 0.3364)
Dy (0.5000, 0.0000, 0.5000)
Dy (0.5000, 0.0000, 0.1727)
Dy (0.5000, 0.0000, 0.8273)
Dy (0.0000, 0.5000, 0.8273)
Dy (0.5000, 0.5000, 0.6636)
Dy (0.5000, 0.5000, 0.0000)
Dy (0.0000, 0.5000, 0.1727)
Dy (0.0000, 0.5000, 0.5000)
Ac (0.0000, 0.0000, 0.0000)

N(E_F) ... 17.3 states/eV/cell
SG ... No. 123
Magnetic moment ... 0.0 Bohr magnetons per cell
Energy of formation ... 0.034 eV per atom
V ... 32.77 Å³ per atom
Energy ... -4.547 eV/atom